The following is a PBE calculation of a relaxed structure of ZnCl3, from the Alexandria database.

Properties
SG	Fm-3m
electronic total energy	-6.29	eV/cell
total magnetization	0.2500	μB/atom
formation energy without anion corrections	0.525	eV/f.u.

```
ZnCl3
1.0
-4.012 -2.561 0.815
-1.265 -1.134 4.521
-3.839 2.108 2.034
Cl Zn
3 1
Direct
0.750 0.750 0.750
0.000 0.000 0.000
0.250 0.250 0.250
0.500 0.500 0.500
```